No. 1
DFT (PBE+U) results for a relaxed ThMnB2O8 crystal.

a = 4.6250 Å, b = 4.6250 Å, c = 6.6060 Å
α = 110.49°, β = 110.49°, γ = 90.00°
Closest atoms and distances in Å follow each position.
Element x y z (fractional)
Th: 0.7500 0.2500 0.5000  8 O 2.33-2.51
Mn: 0.0000 0.0000 0.0000  8 O 2.20-2.42
B: 0.5000 0.5000 0.0000  4 O 1.48
B: 0.2500 0.7500 0.5000  4 O 1.47
O: 0.6952 0.8096 0.1279  1 B 1.48
O: 0.4327 0.3184 0.1279  1 B 1.48
O: 0.5645 0.7175 0.6411  1 B 1.47
O: 0.0767 0.9236 0.6411  1 B 1.47
O: 0.0764 0.4355 0.3589  1 B 1.47
O: 0.2825 0.9233 0.3589  1 B 1.47
O: 0.1904 0.5673 0.8721  1 B 1.48
O: 0.6816 0.3048 0.8721  1 B 1.48

Computed properties:
Electronic total energy   -7.57 eV per atom
Total moment   1.0 Bohr magnetons per cell



No. 2
DFT (PBE+U) results for a relaxed MnTl2B2O6 crystal.

a = 5.0672 Å, b = 5.0672 Å, c = 7.8796 Å
α = 71.24°, β = 71.24°, γ = 60.00°
Closest atoms and distances in Å follow each position.
Element x y z (fractional)
Mn: 0.0000 0.0000 0.0000  6 O 1.92
Tl: 0.7774 0.7774 0.6679  6 O 2.84
Tl: 0.2226 0.2226 0.3321  6 O 2.84
B: 0.3804 0.3804 0.8588  3 O 1.38
B: 0.6196 0.6196 0.1412  3 O 1.38
O: 0.7716 0.7716 0.1567  1 B 1.38
O: 0.3000 0.7716 0.1567  1 B 1.38
O: 0.7716 0.3000 0.1567  1 B 1.38
O: 0.2284 0.7000 0.8433  1 B 1.38
O: 0.7000 0.2284 0.8433  1 B 1.38
O: 0.2284 0.2284 0.8433  1 B 1.38

Computed properties:
Electronic total energy   -6.64 eV per atom
Total moment   3.0 Bohr magnetons per cell



No. 3
DFT (PBE+U) results for a relaxed Mn2TlB2O6 crystal.

a = 5.4710 Å, b = 6.7264 Å, c = 5.4072 Å
α = 111.43°, β = 92.69°, γ = 63.96°
Closest atoms and distances in Å follow each position.
Element x y z (fractional)
Mn: 0.7745 0.4401 0.8314  5 O 1.97-2.16
Mn: 0.2255 0.5599 0.1686  5 O 1.97-2.16
Tl: 0.5000 0.0000 0.5000  2 O 2.77
B: 0.1013 0.6707 0.7545  3 O 1.35-1.41
B: 0.8987 0.3293 0.2455  3 O 1.35-1.41
O: 0.3675 0.5402 0.8065  1 B 1.41
O: 0.0962 0.2834 0.0495  1 B 1.40
O: 0.0443 0.7380 0.5433  1 B 1.35
O: 0.9038 0.7166 0.9505  1 B 1.40
O: 0.9557 0.2620 0.4567  1 B 1.35
O: 0.6325 0.4598 0.1935  1 B 1.41

Computed properties:
Electronic total energy   -7.32 eV per atom
Total moment   9.0 Bohr magnetons per cell



Q: Which of these has the highest total moment?
A: Mn2TlB2O6